# PrY2Ga2Hg3Au | the Open Quantum Materials Database | PBE | relaxed
# - M_tot (Bohr magnetons per cell) = 0.00
# - calculated total energy (eV for the cell shown) = -65.9
data_PrY2Ga2Hg3Au
_space_group_name_H-M_alt 'A m m 2'
_space_group_IT_number 38
_space_group_name_Hall 'A 2 -2'
_cell_length_a 4.336
_cell_length_b 12.996
_cell_length_c 7.469
_cell_angle_alpha 90.00
_cell_angle_beta 90.00
_cell_angle_gamma 90.00
loop_
_atom_site_label
_atom_site_type_symbol
_atom_site_fract_x
_atom_site_fract_y
_atom_site_fract_z
Pr1 Pr 0.000 0.000 0.000
Y1 Y 0.000 0.205 0.386
Ga1 Ga 0.500 0.169 0.091
Hg1 Hg 0.500 0.000 0.327
Hg2 Hg 0.500 0.132 0.720
Au1 Au 0.000 0.000 0.583